Computed, not measured: an optimized crystal structure of Ac2AsN at the PBE level of DFT.

abc: 8.2931 8.2931 9.1296
angles: 90.00 90.00 128.51
With the nearest neighbours (Å) after each atom.
Sites, in units of the cell vectors:
Ac 0.0972 0.4028 0.7500  2 N 2.47
Ac 0.1005 0.8995 0.8789  2 N 2.42-2.48
Ac 0.3995 0.6005 0.3789  2 N 2.42-2.48
Ac 0.4028 0.0972 0.2500  2 N 2.47
Ac 0.5972 0.9028 0.7500  2 N 2.47
Ac 0.6005 0.3995 0.6211  2 N 2.42-2.48
Ac 0.8995 0.1005 0.1211  2 N 2.42-2.48
Ac 0.9028 0.5972 0.2500  2 N 2.47
As 0.1838 0.8162 0.5536  6 Ac 3.22-3.60
As 0.3162 0.6838 0.0536  6 Ac 3.22-3.60
As 0.6838 0.3162 0.9464  6 Ac 3.22-3.60
As 0.8162 0.1838 0.4464  6 Ac 3.22-3.60
N 0.0613 0.9387 0.1424  4 Ac 2.42-2.48
N 0.4387 0.5613 0.6424  4 Ac 2.42-2.48
N 0.5613 0.4387 0.3576  4 Ac 2.42-2.48
N 0.9387 0.0613 0.8576  4 Ac 2.42-2.48

Summary:
Its polymorph energy (0 for the lowest one) is 122.8 meV per atom. The total energy comes out at -103.3 eV/cell.

=====

Computed, not measured: an optimized crystal structure of Ac2AsN at the PBE level of DFT.

abc: 7.7191 7.7191 7.7191
angles: 30.56 30.56 30.56
With the nearest neighbours (Å) after each atom.
Sites, in units of the cell vectors:
Ac 0.0000 0.0000 0.0000  3 N 2.94, 3 As 3.09, 1 Ac 3.27
Ac 0.1484 0.1484 0.1484  3 N 2.79
As 0.5758 0.5758 0.5758  6 Ac 3.09-3.13
N 0.7465 0.7465 0.7465  6 Ac 2.79-2.94

Summary:
Its polymorph energy (0 for the lowest one) is 332.5 meV per atom. The total energy comes out at -25.0 eV/cell. The calculation puts the density of states at the Fermi level at 0.02 states/eV/cell.

=====

Computed, not measured: an optimized crystal structure of Ac2AsN at the PBE level of DFT.

abc: 7.4210 7.4210 7.4210
angles: 32.84 32.84 32.84
With the nearest neighbours (Å) after each atom.
Sites, in units of the cell vectors:
Ac 0.2388 0.2388 0.2388  3 N 2.86, 3 As 3.13
Ac 0.7612 0.7612 0.7612  3 N 2.86, 3 As 3.13
As 0.0000 0.0000 0.0000  6 Ac 3.13
N 0.5000 0.5000 0.5000  6 Ac 2.86

Summary:
Its polymorph energy (0 for the lowest one) is 144.0 meV per atom. The total energy comes out at -25.7 eV/cell. The calculation puts the density of states at the Fermi level at 0.83 states/eV/cell.

=====

Computed, not measured: an optimized crystal structure of AcAsN3 at the PBE level of DFT.

abc: 7.8060 7.8060 5.5744
angles: 95.92 95.92 91.68
With the nearest neighbours (Å) after each atom.
Sites, in units of the cell vectors:
Ac 0.1042 0.8958 0.7500  6 N 2.49-2.72
Ac 0.3374 0.6626 0.2500  6 N 2.63-2.94
Ac 0.6626 0.3374 0.7500  6 N 2.63-2.94
Ac 0.8958 0.1042 0.2500  6 N 2.49-2.72
As 0.1996 0.3672 0.7290  4 N 1.78-1.87
As 0.3672 0.1996 0.2290  4 N 1.78-1.87
As 0.6328 0.8004 0.7710  4 N 1.78-1.87
As 0.8004 0.6328 0.2710  4 N 1.78-1.87
N 0.0141 0.2251 0.6952  1 As 1.78
N 0.1613 0.5906 0.8143  1 As 1.80
N 0.2251 0.0141 0.1952  1 As 1.78
N 0.3183 0.3767 0.4603  2 As 1.85-1.87
N 0.3767 0.3183 0.9603  2 As 1.85-1.87
N 0.4094 0.8387 0.6857  1 As 1.80
N 0.5906 0.1613 0.3143  1 As 1.80
N 0.6233 0.6817 0.0397  2 As 1.85-1.87
N 0.6817 0.6233 0.5397  2 As 1.85-1.87
N 0.7749 0.9859 0.8048  1 As 1.78
N 0.8387 0.4094 0.1857  1 As 1.80
N 0.9859 0.7749 0.3048  1 As 1.78

Summary:
The total energy comes out at -136.5 eV/cell. The calculation puts the density of states at the Fermi level at 12.04 states/eV/cell.

=====

Computed, not measured: an optimized crystal structure of Ac4As2N at the PBE level of DFT.

abc: 9.0432 9.0432 9.0432
angles: 147.47 147.47 46.67
With the nearest neighbours (Å) after each atom.
Sites, in units of the cell vectors:
Ac 0.0000 0.5000 0.5000  2 N 2.53
Ac 0.1729 0.1729 0.0000  1 N 2.87, 1 As 3.20
Ac 0.5000 0.0000 0.5000  2 N 2.53
Ac 0.8271 0.8271 0.0000  1 N 2.87, 1 As 3.20
As 0.3653 0.3653 0.0000  5 Ac 3.20-3.38
As 0.6347 0.6347 0.0000  5 Ac 3.20-3.38
N 0.0000 0.0000 0.0000  4 Ac 2.53

Summary:
The total energy comes out at -40.6 eV/cell. The calculation puts the density of states at the Fermi level at 6.93 states/eV/cell.

=====

Computed, not measured: an optimized crystal structure of Ac2AsN4 at the PBE level of DFT.

abc: 7.5490 5.7948 10.4724
angles: 90.00 90.00 90.00
With the nearest neighbours (Å) after each atom.
Sites, in units of the cell vectors:
Ac 0.0046 0.2500 0.1944  7 N 2.62-2.87
Ac 0.1498 0.7500 0.4251  3 N 2.48-2.73
Ac 0.3502 0.2500 0.9251  3 N 2.48-2.73
Ac 0.4954 0.7500 0.6944  7 N 2.62-2.87
Ac 0.5046 0.2500 0.3056  7 N 2.62-2.87
Ac 0.6498 0.7500 0.0749  3 N 2.48-2.73
Ac 0.8502 0.2500 0.5749  3 N 2.48-2.73
Ac 0.9954 0.7500 0.8056  7 N 2.62-2.87
As 0.2169 0.7500 0.0740  4 N 1.80-1.84
As 0.2831 0.2500 0.5740  4 N 1.80-1.84
As 0.7169 0.7500 0.4260  4 N 1.80-1.84
As 0.7831 0.2500 0.9260  4 N 1.80-1.84
N 0.0215 0.2500 0.9208  1 As 1.80
N 0.1855 0.5043 0.6465  1 As 1.81
N 0.1855 0.9957 0.6465  1 As 1.81
N 0.1880 0.2500 0.4119  1 As 1.84
N 0.3120 0.7500 0.9119  1 As 1.84
N 0.3145 0.0043 0.1465  1 As 1.81
N 0.3145 0.4957 0.1465  1 As 1.81
N 0.4785 0.7500 0.4208  1 As 1.80
N 0.5215 0.2500 0.5792  1 As 1.80
N 0.6855 0.5043 0.8535  1 As 1.81
N 0.6855 0.9957 0.8535  1 As 1.81
N 0.6880 0.2500 0.0881  1 As 1.84
N 0.8120 0.7500 0.5881  1 As 1.84
N 0.8145 0.0043 0.3535  1 As 1.81
N 0.8145 0.4957 0.3535  1 As 1.81
N 0.9785 0.7500 0.0792  1 As 1.80

Summary:
The total energy comes out at -200.5 eV/cell. The calculation puts the density of states at the Fermi level at 23.22 states/eV/cell.

=====

Computed, not measured: an optimized crystal structure of Ac12As3N5 at the PBE level of DFT.

abc: 14.6473 14.6473 14.6473
angles: 109.47 109.47 109.47
With the nearest neighbours (Å) after each atom.
Sites, in units of the cell vectors:
Ac 0.0188 0.2032 0.1160  1 N 2.45
Ac 0.0188 0.3155 0.9027  1 N 2.45
Ac 0.0872 0.7032 0.6845  1 N 2.45
Ac 0.0872 0.8840 0.4027  1 N 2.45
Ac 0.0973 0.6160 0.4128  1 N 2.45
Ac 0.0973 0.9812 0.6845  1 N 2.45
Ac 0.1160 0.0188 0.2032  1 N 2.45
Ac 0.1160 0.5973 0.9128  1 N 2.45
Ac 0.1845 0.2032 0.5872  1 N 2.45
Ac 0.1845 0.4812 0.5973  1 N 2.45
Ac 0.2032 0.1160 0.0188  1 N 2.45
Ac 0.2032 0.5872 0.1845  1 N 2.45
Ac 0.2968 0.3155 0.9128  1 N 2.45
Ac 0.2968 0.4812 0.3840  1 N 2.45
Ac 0.3155 0.9027 0.0188  1 N 2.45
Ac 0.3155 0.9128 0.2968  1 N 2.45
Ac 0.3840 0.2968 0.4812  1 N 2.45
Ac 0.3840 0.5872 0.9027  1 N 2.45
Ac 0.4027 0.0872 0.8840  1 N 2.45
Ac 0.4027 0.8155 0.5188  1 N 2.45
Ac 0.4128 0.0973 0.6160  1 N 2.45
Ac 0.4128 0.8155 0.7968  1 N 2.45
Ac 0.4812 0.3840 0.2968  1 N 2.45
Ac 0.4812 0.5973 0.1845  1 N 2.45
Ac 0.5188 0.4027 0.8155  1 N 2.45
Ac 0.5188 0.6160 0.7032  1 N 2.45
Ac 0.5872 0.1845 0.2032  1 N 2.45
Ac 0.5872 0.9027 0.3840  1 N 2.45
Ac 0.5973 0.1845 0.4812  1 N 2.45
Ac 0.5973 0.9128 0.1160  1 N 2.45
Ac 0.6160 0.4128 0.0973  1 N 2.45
Ac 0.6160 0.7032 0.5188  1 N 2.45
Ac 0.6845 0.0872 0.7032  1 N 2.45
Ac 0.6845 0.0973 0.9812  1 N 2.45
Ac 0.7032 0.5188 0.6160  1 N 2.45
Ac 0.7032 0.6845 0.0872  1 N 2.45
Ac 0.7968 0.4128 0.8155  1 N 2.45
Ac 0.7968 0.8840 0.9812  1 N 2.45
Ac 0.8155 0.5188 0.4027  1 N 2.45
Ac 0.8155 0.7968 0.4128  1 N 2.45
Ac 0.8840 0.4027 0.0872  1 N 2.45
Ac 0.8840 0.9812 0.7968  1 N 2.45
Ac 0.9027 0.0188 0.3155  1 N 2.45
Ac 0.9027 0.3840 0.5872  1 N 2.45
Ac 0.9128 0.1160 0.5973  1 N 2.45
Ac 0.9128 0.2968 0.3155  1 N 2.45
Ac 0.9812 0.6845 0.0973  1 N 2.45
Ac 0.9812 0.7968 0.8840  1 N 2.45
As 0.1250 0.2500 0.3750  8 Ac 3.30-3.41
As 0.1250 0.3750 0.7500  8 Ac 3.30-3.41
As 0.2500 0.3750 0.1250  8 Ac 3.30-3.41
As 0.2500 0.8750 0.6250  8 Ac 3.30-3.41
As 0.3750 0.1250 0.2500  8 Ac 3.30-3.41
As 0.3750 0.7500 0.1250  8 Ac 3.30-3.41
As 0.6250 0.2500 0.8750  8 Ac 3.30-3.41
As 0.6250 0.8750 0.7500  8 Ac 3.30-3.41
As 0.7500 0.1250 0.3750  8 Ac 3.30-3.41
As 0.7500 0.6250 0.8750  8 Ac 3.30-3.41
As 0.8750 0.6250 0.2500  8 Ac 3.30-3.41
As 0.8750 0.7500 0.6250  8 Ac 3.30-3.41
N 0.0000 0.0000 0.0000  6 Ac 2.76
N 0.0000 0.0000 0.5000  6 Ac 2.76
N 0.0000 0.5000 0.0000  6 Ac 2.76
N 0.0000 0.5000 0.5000  6 Ac 2.76
N 0.1250 0.7500 0.8750  4 Ac 2.45
N 0.1250 0.8750 0.2500  4 Ac 2.45
N 0.2500 0.1250 0.8750  4 Ac 2.45
N 0.2500 0.6250 0.3750  4 Ac 2.45
N 0.3750 0.2500 0.6250  4 Ac 2.45
N 0.3750 0.6250 0.7500  4 Ac 2.45
N 0.5000 0.0000 0.0000  6 Ac 2.76
N 0.5000 0.0000 0.5000  6 Ac 2.76
N 0.5000 0.5000 0.0000  6 Ac 2.76
N 0.5000 0.5000 0.5000  6 Ac 2.76
N 0.6250 0.3750 0.2500  4 Ac 2.45
N 0.6250 0.7500 0.3750  4 Ac 2.45
N 0.7500 0.3750 0.6250  4 Ac 2.45
N 0.7500 0.8750 0.1250  4 Ac 2.45
N 0.8750 0.1250 0.7500  4 Ac 2.45
N 0.8750 0.2500 0.1250  4 Ac 2.45

Summary:
The total energy comes out at -488.5 eV/cell. The calculation puts the density of states at the Fermi level at 54.13 states/eV/cell.

=====

Computed, not measured: an optimized crystal structure of Ac2AsN at the PBE level of DFT.

abc: 3.4983 3.4983 7.4789
angles: 90.00 90.00 90.00
With the nearest neighbours (Å) after each atom.
Sites, in units of the cell vectors:
Ac 0.0000 0.0000 0.2155  4 N 2.95, 1 Ac 3.22, 4 As 3.26
Ac 0.0000 0.0000 0.7845  4 N 2.95, 1 Ac 3.22, 4 As 3.26
As 0.5000 0.5000 0.5000  8 Ac 3.26, 4 As 3.50
N 0.5000 0.5000 0.0000  8 Ac 2.95

Summary:
Its polymorph energy (0 for the lowest one) is 615.2 meV per atom. The total energy comes out at -23.9 eV/cell. The calculation puts the density of states at the Fermi level at 1.83 states/eV/cell.

=====

Computed, not measured: an optimized crystal structure of Ac2AsN at the PBE level of DFT.

abc: 5.1553 5.1553 5.1553
angles: 60.00 60.00 60.00
With the nearest neighbours (Å) after each atom.
Sites, in units of the cell vectors:
Ac 0.2500 0.2500 0.2500  4 As 3.16, 4 N 3.16
Ac 0.7500 0.7500 0.7500  4 As 3.16, 4 N 3.16
As 0.0000 0.0000 0.0000  8 Ac 3.16
N 0.5000 0.5000 0.5000  8 Ac 3.16

Summary:
Its polymorph energy (0 for the lowest one) is 770.9 meV per atom. The total energy comes out at -23.2 eV/cell. The calculation puts the density of states at the Fermi level at 1.68 states/eV/cell.